Model i:
InSbPO2: optimized geometry, PBE.

abc: 4.0014 4.0014 5.3056
angles: 90.00 90.00 90.00
Closest atoms and distances in Å follow each position.
Space group P4/mmm (No. 123)
One atom of each set of equivalent atoms:
In1 0.0000 0.0000 0.0000 x1  4 P 2.83
Sb1 0.5000 0.5000 0.5000 x1  4 O 2.00
P1 0.5000 0.5000 0.0000 x1  2 Sb 2.65, 4 In 2.83
O1 0.0000 0.5000 0.5000 x2  2 Sb 2.00

Computed properties:
- total magnetic moment (μB per formula unit) = 0.0
- volume (A^3/atom) = 16.99

***

Model ii:
InSbPO2: optimized geometry, PBE.

abc: 4.1259 4.1259 5.2205
angles: 90.00 90.00 90.00
Closest atoms and distances in Å follow each position.
Space group P4/mmm (No. 123)
One atom of each set of equivalent atoms:
In1 0.0000 0.0000 0.0000 x1  4 O 2.06
Sb1 0.5000 0.5000 0.5000 x1  4 P 2.92
P1 0.0000 0.0000 0.5000 x1  2 In 2.61, 4 Sb 2.92
O1 0.0000 0.5000 0.0000 x2  2 In 2.06

Computed properties:
- total magnetic moment (μB per formula unit) = 0.4
- volume (A^3/atom) = 17.77

***

Name the least stable of them. model ii.

***

Model i:
ScInPO2: optimized geometry, PBE.

abc: 4.0626 4.0626 5.2397
angles: 90.00 90.00 90.00
Closest atoms and distances in Å follow each position.
Space group P4/mmm (No. 123)
One atom of each set of equivalent atoms:
Sc1 0.0000 0.0000 0.0000 x1  4 P 2.87
In1 0.5000 0.5000 0.5000 x1  4 O 2.03
P1 0.5000 0.5000 0.0000 x1  2 In 2.62, 4 Sc 2.87
O1 0.0000 0.5000 0.5000 x2  2 In 2.03

Computed properties:
- total magnetic moment (μB per formula unit) = 0.8
- volume (A^3/atom) = 17.30

***

Model ii:
ScInPO2: optimized geometry, PBE.

abc: 3.9985 3.9985 5.5863
angles: 90.00 90.00 90.00
Closest atoms and distances in Å follow each position.
Space group P4/mmm (No. 123)
One atom of each set of equivalent atoms:
Sc1 0.0000 0.0000 0.0000 x1  4 O 2.00
In1 0.5000 0.5000 0.5000 x1  4 P 2.83
P1 0.0000 0.0000 0.5000 x1  2 Sc 2.79, 4 In 2.83
O1 0.0000 0.5000 0.0000 x2  2 Sc 2.00

Computed properties:
- total magnetic moment (μB per formula unit) = 1.0
- volume (A^3/atom) = 17.86

***

Name the least stable of them. model i.